(1)
The following is a GGA-PBEsol calculation of crystalline SbPt2W at its relaxed geometry, from the Alexandria database.

Cell and atoms, written as CIF:
```
data_SbPt2W
_chemical_formula_sum 'Sb1 Pt2 W1'
_cell_length_a 4.545
_cell_length_b 4.544
_cell_length_c 4.545
_cell_angle_alpha 59.99
_cell_angle_beta 90.00
_cell_angle_gamma 120.01
_symmetry_space_group_name_H-M 'P 1'
_symmetry_Int_Tables_number 1
_symmetry_space_group_name_Hall 'P 1'
loop_
_atom_site_label
_atom_site_fract_x
_atom_site_fract_y
_atom_site_fract_z
_atom_site_occupancy
Pt1 0.250 0.500 0.250 1
Pt2 0.000 0.000 0.000 1
Sb1 0.500 0.000 0.500 1
W1 0.750 0.500 0.750 1
```

ΔE_f (raw) in meV/atom: 193.4
Density of states at the Fermi level in states/eV/f.u.: 4.592
Mass density in g cm⁻³: 17.408
Raw total energy in eV per cell: -31.5
Total magnetization in μB/f.u.: 0.0



(2)
The following is a GGA-PBEsol calculation of crystalline Sb2PtW at its relaxed geometry, from the Alexandria database.

Cell and atoms, written as CIF:
```
data_Sb2PtW
_chemical_formula_sum 'Sb2 Pt1 W1'
_cell_length_a 3.057
_cell_length_b 3.057
_cell_length_c 10.434
_cell_angle_alpha 81.58
_cell_angle_beta 81.58
_cell_angle_gamma 60.00
_symmetry_space_group_name_H-M 'P 1'
_symmetry_Int_Tables_number 1
_symmetry_space_group_name_Hall 'P 1'
loop_
_atom_site_label
_atom_site_fract_x
_atom_site_fract_y
_atom_site_fract_z
_atom_site_occupancy
Sb1 0.768 0.768 0.696 1
Sb2 0.982 0.982 0.053 1
W1 0.509 0.509 0.473 1
Pt1 0.241 0.241 0.278 1
```

ΔE_f (raw) in meV/atom: 264.0
Density of states at the Fermi level in states/eV/f.u.: 3.248
Mass density in g cm⁻³: 12.418
Raw total energy in eV per cell: -28.8
Total magnetization in μB/f.u.: 0.0



(3)
The following is a GGA-PBEsol calculation of crystalline YSb2Pt at its relaxed geometry, from the Alexandria database.

Cell and atoms, written as CIF:
```
data_YSb2Pt
_chemical_formula_sum 'Y1 Sb2 Pt1'
_cell_length_a 4.238
_cell_length_b 4.238
_cell_length_c 5.678
_cell_angle_alpha 111.91
_cell_angle_beta 111.91
_cell_angle_gamma 90.00
_symmetry_space_group_name_H-M 'P 1'
_symmetry_Int_Tables_number 1
_symmetry_space_group_name_Hall 'P 1'
loop_
_atom_site_label
_atom_site_fract_x
_atom_site_fract_y
_atom_site_fract_z
_atom_site_occupancy
Pt1 0.250 0.750 0.500 1
Sb1 0.750 0.250 0.500 1
Sb2 0.000 0.000 0.000 1
Y1 0.500 0.500 0.000 1
```

ΔE_f (raw) in meV/atom: -617.8
Density of states at the Fermi level in states/eV/f.u.: 2.239
Mass density in g cm⁻³: 10.112
Raw total energy in eV per cell: -25.4
Total magnetization in μB/f.u.: 0.0



(4)
The following is a GGA-PBEsol calculation of crystalline Y2SbPt at its relaxed geometry, from the Alexandria database.

Cell and atoms, written as CIF:
```
data_Y2SbPt
_chemical_formula_sum 'Y2 Sb1 Pt1'
_cell_length_a 3.464
_cell_length_b 3.695
_cell_length_c 7.237
_cell_angle_alpha 90.00
_cell_angle_beta 90.04
_cell_angle_gamma 90.00
_symmetry_space_group_name_H-M 'P 1'
_symmetry_Int_Tables_number 1
_symmetry_space_group_name_Hall 'P 1'
loop_
_atom_site_label
_atom_site_fract_x
_atom_site_fract_y
_atom_site_fract_z
_atom_site_occupancy
Pt1 0.500 0.500 0.500 1
Y1 0.999 0.000 0.271 1
Y2 0.001 0.000 0.729 1
Sb1 0.500 0.500 0.000 1
```

ΔE_f (raw) in meV/atom: -989.6
Density of states at the Fermi level in states/eV/f.u.: 2.049
Mass density in g cm⁻³: 8.869
Raw total energy in eV per cell: -29.1
Total magnetization in μB/f.u.: 0.0



(5)
The following is a GGA-PBEsol calculation of crystalline YSb2Pt at its relaxed geometry, from the Alexandria database.

Cell and atoms, written as CIF:
```
data_YSb2Pt
_chemical_formula_sum 'Y1 Sb2 Pt1'
_cell_length_a 3.785
_cell_length_b 4.992
_cell_length_c 5.765
_cell_angle_alpha 115.79
_cell_angle_beta 109.16
_cell_angle_gamma 90.00
_symmetry_space_group_name_H-M 'P 1'
_symmetry_Int_Tables_number 1
_symmetry_space_group_name_Hall 'P 1'
loop_
_atom_site_label
_atom_site_fract_x
_atom_site_fract_y
_atom_site_fract_z
_atom_site_occupancy
Sb1 0.791 0.791 0.583 1
Sb2 0.209 0.209 0.417 1
Pt1 0.500 0.000 0.000 1
Y1 0.000 0.500 0.000 1
```

ΔE_f (raw) in meV/atom: -559.5
Density of states at the Fermi level in states/eV/f.u.: 3.032
Mass density in g cm⁻³: 9.592
Raw total energy in eV per cell: -25.1
Total magnetization in μB/f.u.: 0.0



(6)
The following is a GGA-PBEsol calculation of crystalline Y2SbPt at its relaxed geometry, from the Alexandria database.

Cell and atoms, written as CIF:
```
data_Y2SbPt
_chemical_formula_sum 'Y2 Sb1 Pt1'
_cell_length_a 4.078
_cell_length_b 4.256
_cell_length_c 5.902
_cell_angle_alpha 90.00
_cell_angle_beta 110.21
_cell_angle_gamma 90.00
_symmetry_space_group_name_H-M 'P 1'
_symmetry_Int_Tables_number 1
_symmetry_space_group_name_Hall 'P 1'
loop_
_atom_site_label
_atom_site_fract_x
_atom_site_fract_y
_atom_site_fract_z
_atom_site_occupancy
Sb1 0.544 0.500 0.089 1
Y1 0.261 0.500 0.522 1
Y2 0.973 0.000 0.947 1
Pt1 0.718 0.000 0.436 1
```

ΔE_f (raw) in meV/atom: -1150.0
Density of states at the Fermi level in states/eV/f.u.: 1.716
Mass density in g cm⁻³: 8.545
Raw total energy in eV per cell: -29.8
Total magnetization in μB/f.u.: 0.0



(7)
The following is a GGA-PBEsol calculation of crystalline YSb2Pt2 at its relaxed geometry, from the Alexandria database.

Cell and atoms, written as CIF:
```
data_YSb2Pt2
_chemical_formula_sum 'Y1 Sb2 Pt2'
_cell_length_a 4.283
_cell_length_b 4.283
_cell_length_c 6.716
_cell_angle_alpha 108.60
_cell_angle_beta 108.60
_cell_angle_gamma 90.00
_symmetry_space_group_name_H-M 'P 1'
_symmetry_Int_Tables_number 1
_symmetry_space_group_name_Hall 'P 1'
loop_
_atom_site_label
_atom_site_fract_x
_atom_site_fract_y
_atom_site_fract_z
_atom_site_occupancy
Sb1 0.750 0.250 0.500 1
Sb2 0.250 0.750 0.500 1
Pt1 0.608 0.608 0.217 1
Pt2 0.392 0.392 0.783 1
Y1 0.000 0.000 0.000 1
```

ΔE_f (raw) in meV/atom: -572.4
Density of states at the Fermi level in states/eV/f.u.: 3.386
Mass density in g cm⁻³: 10.911
Raw total energy in eV per cell: -32.7
Total magnetization in μB/f.u.: 0.0



(8)
The following is a GGA-PBEsol calculation of crystalline Y2SbPt at its relaxed geometry, from the Alexandria database.

Cell and atoms, written as CIF:
```
data_Y2SbPt
_chemical_formula_sum 'Y2 Sb1 Pt1'
_cell_length_a 5.010
_cell_length_b 5.010
_cell_length_c 5.010
_cell_angle_alpha 60.00
_cell_angle_beta 60.00
_cell_angle_gamma 60.00
_symmetry_space_group_name_H-M 'P 1'
_symmetry_Int_Tables_number 1
_symmetry_space_group_name_Hall 'P 1'
loop_
_atom_site_label
_atom_site_fract_x
_atom_site_fract_y
_atom_site_fract_z
_atom_site_occupancy
Pt1 0.500 0.500 0.500 1
Y1 0.000 0.000 0.000 1
Y2 0.750 0.750 0.750 1
Sb1 0.250 0.250 0.250 1
```

ΔE_f (raw) in meV/atom: -392.0
Density of states at the Fermi level in states/eV/f.u.: 5.535
Mass density in g cm⁻³: 9.239
Raw total energy in eV per cell: -26.7
Total magnetization in μB/f.u.: 0.0



(9)
The following is a GGA-PBEsol calculation of crystalline Y5SbPt2 at its relaxed geometry, from the Alexandria database.

Cell and atoms, written as CIF:
```
data_Y5SbPt2
_chemical_formula_sum 'Y10 Sb2 Pt4'
_cell_length_a 7.673
_cell_length_b 8.630
_cell_length_c 7.673
_cell_angle_alpha 63.60
_cell_angle_beta 90.00
_cell_angle_gamma 116.40
_symmetry_space_group_name_H-M 'P 1'
_symmetry_Int_Tables_number 1
_symmetry_space_group_name_Hall 'P 1'
loop_
_atom_site_label
_atom_site_fract_x
_atom_site_fract_y
_atom_site_fract_z
_atom_site_occupancy
Y1 0.519 0.721 0.297 1
Y2 0.481 0.279 0.703 1
Y3 0.981 0.279 0.519 1
Y4 0.000 0.000 0.000 1
Y5 0.703 0.721 0.797 1
Y6 0.019 0.721 0.481 1
Y7 0.500 0.000 0.500 1
Y8 0.203 0.721 0.981 1
Y9 0.297 0.279 0.203 1
Y10 0.797 0.279 0.019 1
Pt1 0.637 0.000 0.863 1
Pt2 0.863 0.000 0.363 1
Pt3 0.137 0.000 0.637 1
Pt4 0.363 0.000 0.137 1
Sb1 0.750 0.500 0.250 1
Sb2 0.250 0.500 0.750 1
```

ΔE_f (raw) in meV/atom: -1004.2
Density of states at the Fermi level in states/eV/f.u.: 6.834
Mass density in g cm⁻³: 8.039
Raw total energy in eV per cell: -121.3
Total magnetization in μB/f.u.: 0.0



(10)
The following is a GGA-PBEsol calculation of crystalline YSb2Pt at its relaxed geometry, from the Alexandria database.

Cell and atoms, written as CIF:
```
data_YSb2Pt
_chemical_formula_sum 'Y1 Sb2 Pt1'
_cell_length_a 5.045
_cell_length_b 5.045
_cell_length_c 5.045
_cell_angle_alpha 60.00
_cell_angle_beta 60.00
_cell_angle_gamma 60.00
_symmetry_space_group_name_H-M 'P 1'
_symmetry_Int_Tables_number 1
_symmetry_space_group_name_Hall 'P 1'
loop_
_atom_site_label
_atom_site_fract_x
_atom_site_fract_y
_atom_site_fract_z
_atom_site_occupancy
Sb1 0.000 0.000 0.000 1
Sb2 0.750 0.750 0.750 1
Y1 0.250 0.250 0.250 1
Pt1 0.500 0.500 0.500 1
```

ΔE_f (raw) in meV/atom: -407.1
Density of states at the Fermi level in states/eV/f.u.: 2.165
Mass density in g cm⁻³: 9.649
Raw total energy in eV per cell: -24.5
Total magnetization in μB/f.u.: 0.0